Entry w
## SrBiRu3 (SCAN)

Data for a crystal of SrBiRu3 relaxed with PBEsol.

Calculated values
The spin magnetization comes out at 0.00 μB per cell. As for the calculated volume: 21.911 A^3/atom.

Unit cell a=4.785 b=4.785 c=4.785 alpha=90.00 beta=90.00 gamma=90.00
Atoms (fractional coordinates):
Sr 0.000 0.000 0.000
Bi 0.500 0.500 0.500
Ru 0.000 0.000 0.500
Ru 0.000 0.500 0.000
Ru 0.500 0.000 0.000


Entry x
## SrBiRu3 (SCAN)

Data for a crystal of SrBiRu3 relaxed with PBEsol.

Calculated values
The spin magnetization comes out at 2.96 μB per cell. As for the calculated volume: 24.721 A^3/atom.

Unit cell a=4.981 b=4.981 c=4.981 alpha=90.00 beta=90.00 gamma=90.00
Atoms (fractional coordinates):
Sr 0.000 0.000 0.000
Bi 0.500 0.500 0.500
Ru 0.000 0.500 0.500
Ru 0.500 0.000 0.500
Ru 0.500 0.500 0.000


Winner for stability: entry x


Entry w
## SrBi2Ru (SCAN)

Data for a crystal of SrBi2Ru relaxed with PBEsol.

Calculated values
The spin magnetization comes out at 0.00 μB per cell. As for the calculated volume: 23.731 A^3/atom.

Unit cell a=5.120 b=5.120 c=5.120 alpha=60.00 beta=60.00 gamma=60.00
Atoms (fractional coordinates):
Sr 0.000 0.000 0.000
Bi 0.250 0.250 0.250
Bi 0.750 0.750 0.750
Ru 0.500 0.500 0.500


Entry x
## SrBi2Ru (SCAN)

Data for a crystal of SrBi2Ru relaxed with PBEsol.

Calculated values
The spin magnetization comes out at 0.00 μB per cell. As for the calculated volume: 27.754 A^3/atom.

Unit cell a=6.698 b=6.698 c=6.698 alpha=103.31 beta=103.31 gamma=122.65
Atoms (fractional coordinates):
Sr 0.000 0.000 0.000
Sr 0.750 0.250 0.500
Bi 0.196 0.125 0.572
Bi 0.375 0.804 0.928
Bi 0.554 0.625 0.428
Bi 0.875 0.446 0.072
Ru 0.250 0.750 0.500
Ru 0.500 0.500 0.000


Winner for stability: entry x


Entry w
## BiSeS2 (SCAN)

Data for a crystal of BiSeS2 relaxed with PBEsol.

Calculated values
The spin magnetization comes out at 0.00 μB per cell. As for the calculated volume: 22.133 A^3/atom.

Unit cell a=6.139 b=6.139 c=6.139 alpha=107.04 beta=107.04 gamma=114.45
Atoms (fractional coordinates):
Bi 0.000 0.000 0.000
Bi 0.750 0.250 0.500
Se 0.250 0.750 0.500
Se 0.500 0.500 0.000
S 0.140 0.125 0.515
S 0.375 0.860 0.985
S 0.610 0.625 0.485
S 0.875 0.390 0.015


Entry x
## BiSeS2 (SCAN)

Data for a crystal of BiSeS2 relaxed with PBEsol.

Calculated values
The spin magnetization comes out at 0.00 μB per cell. As for the calculated volume: 24.134 A^3/atom.

Unit cell a=8.876 b=8.876 c=8.876 alpha=23.36 beta=23.36 gamma=23.36
Atoms (fractional coordinates):
Bi 0.000 0.000 0.000
Se 0.500 0.500 0.500
S 0.108 0.108 0.108
S 0.892 0.892 0.892


Winner for stability: entry w


Entry w
## Sr2BiSb2 (SCAN)

Data for a crystal of Sr2BiSb2 relaxed with PBEsol.

Calculated values
The spin magnetization comes out at 0.00 μB per cell. As for the calculated volume: 32.136 A^3/atom.

Unit cell a=9.383 b=9.383 c=3.650 alpha=90.00 beta=90.00 gamma=90.00
Atoms (fractional coordinates):
Sr 0.134 0.366 0.000
Sr 0.366 0.866 0.000
Sr 0.634 0.134 0.000
Sr 0.866 0.634 0.000
Bi 0.000 0.000 0.000
Bi 0.500 0.500 0.000
Sb 0.169 0.669 0.500
Sb 0.331 0.169 0.500
Sb 0.669 0.831 0.500
Sb 0.831 0.331 0.500


Entry x
## Sr2BiSb2 (SCAN)

Data for a crystal of Sr2BiSb2 relaxed with PBEsol.

Calculated values
The spin magnetization comes out at 0.00 μB per cell. As for the calculated volume: 32.536 A^3/atom.

Unit cell a=8.400 b=8.400 c=4.612 alpha=90.00 beta=90.00 gamma=90.00
Atoms (fractional coordinates):
Sr 0.164 0.336 0.000
Sr 0.336 0.836 0.000
Sr 0.664 0.164 0.000
Sr 0.836 0.664 0.000
Bi 0.000 0.000 0.500
Bi 0.500 0.500 0.500
Sb 0.138 0.638 0.500
Sb 0.362 0.138 0.500
Sb 0.638 0.862 0.500
Sb 0.862 0.362 0.500


Winner for stability: entry x


Entry w
## BiSbTe2 (SCAN)

Data for a crystal of BiSbTe2 relaxed with PBEsol.

Calculated values
The spin magnetization comes out at 0.00 μB per cell. As for the calculated volume: 30.496 A^3/atom.

Unit cell a=6.947 b=6.947 c=6.947 alpha=102.39 beta=102.39 gamma=124.82
Atoms (fractional coordinates):
Bi 0.000 0.000 0.000
Bi 0.750 0.250 0.500
Sb 0.250 0.750 0.500
Sb 0.500 0.500 0.000
Te 0.130 0.125 0.505
Te 0.375 0.870 0.995
Te 0.620 0.625 0.495
Te 0.875 0.380 0.005


Entry x
## BiSbTe2 (SCAN)

Data for a crystal of BiSbTe2 relaxed with PBEsol.

Calculated values
The spin magnetization comes out at 0.00 μB per cell. As for the calculated volume: 32.916 A^3/atom.

Unit cell a=4.293 b=4.293 c=24.745 alpha=90.00 beta=90.00 gamma=120.00
Atoms (fractional coordinates):
Bi 0.000 0.000 0.000
Bi 0.000 0.000 0.250
Bi 0.667 0.333 0.657
Sb 0.000 0.000 0.415
Sb 0.000 0.000 0.835
Sb 0.333 0.667 0.589
Te 0.333 0.667 0.071
Te 0.333 0.667 0.334
Te 0.333 0.667 0.766
Te 0.667 0.333 0.178
Te 0.667 0.333 0.483
Te 0.667 0.333 0.914


Winner for stability: entry x


Entry w
## BiTeSe2 (SCAN)

Data for a crystal of BiTeSe2 relaxed with PBEsol.

Calculated values
The spin magnetization comes out at 0.00 μB per cell. As for the calculated volume: 28.289 A^3/atom.

Unit cell a=9.814 b=9.814 c=9.814 alpha=21.69 beta=21.69 gamma=21.69
Atoms (fractional coordinates):
Bi 0.000 0.000 0.000
Te 0.500 0.500 0.500
Se 0.100 0.100 0.100
Se 0.900 0.900 0.900


Entry x
## BiTeSe2 (SCAN)

Data for a crystal of BiTeSe2 relaxed with PBEsol.

Calculated values
The spin magnetization comes out at 0.00 μB per cell. As for the calculated volume: 30.719 A^3/atom.

Unit cell a=9.307 b=9.307 c=9.307 alpha=24.60 beta=24.60 gamma=24.60
Atoms (fractional coordinates):
Bi 0.000 0.000 0.000
Te 0.500 0.500 0.500
Se 0.400 0.400 0.400
Se 0.600 0.600 0.600


Winner for stability: entry x


Entry w
## YSi2Bi2 (SCAN)

Data for a crystal of YSi2Bi2 relaxed with PBEsol.

Calculated values
The spin magnetization comes out at 0.34 μB per cell. As for the calculated volume: 24.162 A^3/atom.

Unit cell a=10.177 b=10.177 c=10.177 alpha=160.21 beta=160.21 gamma=28.14
Atoms (fractional coordinates):
Y 0.000 0.000 0.000
Si 0.250 0.750 0.500
Si 0.750 0.250 0.500
Bi 0.387 0.387 0.000
Bi 0.613 0.613 0.000


Entry x
## YSi2Bi2 (SCAN)

Data for a crystal of YSi2Bi2 relaxed with PBEsol.

Calculated values
The spin magnetization comes out at 0.00 μB per cell. As for the calculated volume: 23.600 A^3/atom.

Unit cell a=7.415 b=7.415 c=4.292 alpha=90.00 beta=90.00 gamma=90.00
Atoms (fractional coordinates):
Y 0.000 0.000 0.000
Y 0.500 0.500 0.000
Si 0.116 0.384 0.000
Si 0.384 0.884 0.000
Si 0.616 0.116 0.000
Si 0.884 0.616 0.000
Bi 0.186 0.686 0.500
Bi 0.314 0.186 0.500
Bi 0.686 0.814 0.500
Bi 0.814 0.314 0.500


Winner for stability: entry x


Entry w
## Tb5Bi3 (SCAN)

Data for a crystal of Tb5Bi3 relaxed with PBEsol.

Calculated values
The spin magnetization comes out at 0.00 μB per cell. As for the calculated volume: 28.028 A^3/atom.

Unit cell a=9.080 b=9.080 c=6.281 alpha=90.00 beta=90.00 gamma=120.00
Atoms (fractional coordinates):
Tb 0.000 0.244 0.250
Tb 0.000 0.756 0.750
Tb 0.244 0.000 0.250
Tb 0.244 0.244 0.750
Tb 0.333 0.667 0.000
Tb 0.333 0.667 0.500
Tb 0.667 0.333 0.000
Tb 0.667 0.333 0.500
Tb 0.756 0.000 0.750
Tb 0.756 0.756 0.250
Bi 0.000 0.389 0.750
Bi 0.000 0.611 0.250
Bi 0.389 0.000 0.750
Bi 0.389 0.389 0.250
Bi 0.611 0.000 0.250
Bi 0.611 0.611 0.750


Entry x
## Tb5Bi3 (SCAN)

Data for a crystal of Tb5Bi3 relaxed with PBEsol.

Calculated values
The spin magnetization comes out at 0.00 μB per cell. As for the calculated volume: 28.607 A^3/atom.

Unit cell a=11.895 b=9.426 c=8.164 alpha=90.00 beta=90.00 gamma=90.00
Atoms (fractional coordinates):
Tb 0.004 0.250 0.020
Tb 0.063 0.060 0.690
Tb 0.063 0.440 0.690
Tb 0.211 0.750 0.340
Tb 0.227 0.250 0.328
Tb 0.273 0.750 0.828
Tb 0.289 0.250 0.840
Tb 0.437 0.560 0.190
Tb 0.437 0.940 0.190
Tb 0.496 0.750 0.520
Tb 0.504 0.250 0.480
Tb 0.563 0.060 0.810
Tb 0.563 0.440 0.810
Tb 0.711 0.750 0.160
Tb 0.727 0.250 0.172
Tb 0.773 0.750 0.672
Tb 0.789 0.250 0.660
Tb 0.937 0.560 0.310
Tb 0.937 0.940 0.310
Tb 0.996 0.750 0.980
Bi 0.029 0.750 0.600
Bi 0.175 0.507 0.063
Bi 0.175 0.993 0.063
Bi 0.325 0.007 0.563
Bi 0.325 0.493 0.563
Bi 0.471 0.250 0.100
Bi 0.529 0.750 0.900
Bi 0.675 0.507 0.437
Bi 0.675 0.993 0.437
Bi 0.825 0.007 0.937
Bi 0.825 0.493 0.937
Bi 0.971 0.250 0.400


Winner for stability: entry w